No. 1
VASP calculation (PBE) on a relaxed La2CuMo crystal.

```
La2CuMo
1.0
0.0000 3.6229 3.6229
3.6229 0.0000 3.6229
3.6229 3.6229 0.0000
Mo Cu La
1 1 2
Direct
0.5000 0.5000 0.5000
0.0000 0.0000 0.0000
0.2500 0.2500 0.2500
0.7500 0.7500 0.7500
```

## Properties
- E_form: 0.304 eV/atom
- Volume: 23.78 Å³/atom
- Total DFT energy (no corrections): -5.892 eV/atom
- Offset from the most stable computed form: 43 meV/atom

No. 2
VASP calculation (PBE) on a relaxed La2CuMoN crystal.

```
La2CuMoN
1.0
5.2164 0.0000 0.0000
0.0000 5.2164 0.0000
0.0000 0.0000 3.9672
Mo N Cu La
1 1 1 2
Direct
0.0000 0.0000 0.5000
0.0000 0.0000 0.0000
0.5000 0.5000 0.5000
0.0000 0.5000 0.0000
0.5000 0.0000 0.0000
```

## Properties
- Volume: 21.59 Å³/atom
- Uncorrected formation energy: -9.3 kcal/mol of atoms
- Total DFT energy (no corrections): -7.023 eV/atom

> The highest total DFT energy (no corrections) belongs to which entry?

La2CuMo

What did the first record say?
VASP calculation (PBE) on a relaxed La2CuMo crystal.

```
La2CuMo
1.0
0.0000 3.6229 3.6229
3.6229 0.0000 3.6229
3.6229 3.6229 0.0000
Mo Cu La
1 1 2
Direct
0.5000 0.5000 0.5000
0.0000 0.0000 0.0000
0.2500 0.2500 0.2500
0.7500 0.7500 0.7500
```

## Properties
- E_form: 0.304 eV/atom
- Volume: 23.78 Å³/atom
- Total DFT energy (no corrections): -5.892 eV/atom
- Offset from the most stable computed form: 43 meV/atom

> Look up the total DFT energy (no corrections) of the second one.

-7.023 eV/atom